A plane-wave DFT calculation with PBE was carried out for a relaxed ScSi3N crystal.

The space group is Pm-3m (No. 221) and the conventional cell measures 4.112, 4.112 and 4.112 Å, with angles of 90.00, 90.00 and 90.00 degrees. The asymmetric unit holds Sc at (0.000, 0.000, 0.000), Si at (0.000, 0.500, 0.500) and N at (0.500, 0.500, 0.500).

The crystal system is cubic. For the formation energy from raw total energies, the calculation gives 4.8 kcal/mol of atoms. The total magnetic moment is 0.000 μB per atom.